1.
# BaCaInAs2

A geometry-optimized BaCaInAs2 structure (PBE, Alexandria).

a b c (Å): 5.8790 5.8790 5.9701
angles (deg): 90.00 90.00 90.00
Closest atoms and distances in Å follow each position.
Space group P4/mmm (No. 123)
Inequivalent atoms, fractional coordinates:
Ba: 0.0000 0.0000 0.0000  4 As 2.94, 2 In 2.99
Ca: 0.5000 0.5000 0.5000  4 In 4.16, 8 As 4.19
In: 0.0000 0.0000 0.5000  2 Ba 2.99
As: 0.0000 0.5000 0.0000  2 Ba 2.94

Output
As for the total energy: -2.74 eV per atom. For the density of states at the Fermi level, the calculation gives 5.21 states/eV/cell. For the excess energy over the best structure of this formula in the dataset, the calculation gives 1165 meV/atom.

***

2.
# AcTb2SeO8

A geometry-optimized AcTb2SeO8 structure (PBE, Alexandria).

a b c (Å): 4.5520 5.1146 6.8120
angles (deg): 89.87 71.36 89.22
Closest atoms and distances in Å follow each position.
Space group P-1 (No. 2)
Inequivalent atoms, fractional coordinates:
Ac: 0.0000 0.0000 0.0000  12 O 2.71-2.87
Tb: 0.3582 0.5039 0.2947  5 O 2.23-2.49
Se: 0.5000 0.0000 0.5000  6 O 1.80-1.89
O: 0.2223 0.2576 0.6149  1 Se 1.81
O: 0.2292 0.7463 0.6168  1 Se 1.80
O: 0.2403 0.5002 0.0019  2 O 2.20-2.36, 2 Tb 2.23-2.25
O: 0.4016 0.9975 0.2505  1 Se 1.89

Output
As for the total energy: -7.06 eV per atom. Its uncorrected formation energy is -2352 meV per atom. For the density of states at the Fermi level, the calculation gives 1.33 states/eV/cell.

***

3.
# RbSr2TeSe

A geometry-optimized RbSr2TeSe structure (PBE, Alexandria).

a b c (Å): 6.5887 6.5887 5.5276
angles (deg): 90.00 90.00 90.00
Closest atoms and distances in Å follow each position.
Space group P4/mmm (No. 123)
Inequivalent atoms, fractional coordinates:
Rb: 0.0000 0.0000 0.0000  2 Se 2.76
Sr: 0.0000 0.5000 0.0000  2 Rb 3.29
Te: 0.5000 0.5000 0.5000  8 Sr 4.30, 4 Se 4.66
Se: 0.0000 0.0000 0.5000  2 Rb 2.76

Output
As for the total energy: -2.08 eV per atom. Its uncorrected formation energy is 111 meV per atom. For the density of states at the Fermi level, the calculation gives 3.07 states/eV/cell.

***

4.
# Tb5Sc4

A geometry-optimized Tb5Sc4 structure (PBE, Alexandria).

a b c (Å): 11.3672 10.2946 4.8265
angles (deg): 90.00 115.05 90.00
Closest atoms and distances in Å follow each position.
Space group C2/m (No. 12)
Inequivalent atoms, fractional coordinates:
Tb: 0.0000 0.0000 0.0000  4 Tb 3.38, 8 Sc 3.42
Tb: 0.0000 0.3283 0.0000  6 Tb 3.38-3.53, 6 Sc 3.40-3.43
Tb: 0.1717 0.5000 0.6716  6 Tb 3.38-3.54, 6 Sc 3.39-3.43
Sc: 0.1667 0.1667 0.6665  8 Tb 3.39-3.43, 4 Sc 3.42-3.43

Output
As for the total energy: -5.33 eV per atom. For the density of states at the Fermi level, the calculation gives 27.30 states/eV/cell.

***

5.
# CeGdInTc

A geometry-optimized CeGdInTc structure (PBE, Alexandria).

a b c (Å): 7.2648 7.2648 7.2648
angles (deg): 90.00 90.00 90.00
Closest atoms and distances in Å follow each position.
Space group F-43m (No. 216)
Inequivalent atoms, fractional coordinates:
Ce: 0.0000 0.0000 0.0000  4 In 3.15, 4 Tc 3.15
Gd: 0.0000 0.0000 0.5000  4 In 3.15, 4 Tc 3.15
In: 0.2500 0.2500 0.7500  4 Gd 3.15, 4 Ce 3.15
Tc: 0.2500 0.2500 0.2500  4 Gd 3.15, 4 Ce 3.15

Output
As for the total energy: -8.36 eV per atom. For the density of states at the Fermi level, the calculation gives 13.24 states/eV/cell.

***

6.
# BS2ICl

A geometry-optimized BS2ICl structure (PBE, Alexandria).

a b c (Å): 4.5319 4.5319 4.2324
angles (deg): 90.00 90.00 90.00
Closest atoms and distances in Å follow each position.
Space group P4/mmm (No. 123)
Inequivalent atoms, fractional coordinates:
B: 0.0000 0.0000 0.0000  2 Cl 2.12, 4 S 2.27
S: 0.0000 0.5000 0.0000  2 B 2.27
I: 0.5000 0.5000 0.5000  8 S 3.10, 4 Cl 3.20
Cl: 0.0000 0.0000 0.5000  2 B 2.12

Output
As for the total energy: -2.92 eV per atom. Its uncorrected formation energy is 750 meV per atom. For the density of states at the Fermi level, the calculation gives 2.39 states/eV/cell. For the excess energy over the best structure of this formula in the dataset, the calculation gives 0 meV/atom.

***

7.
# LiCuBPd2

A geometry-optimized LiCuBPd2 structure (PBE, Alexandria).

a b c (Å): 4.1327 4.1327 4.0308
angles (deg): 90.00 90.00 90.00
Closest atoms and distances in Å follow each position.
Space group P4/mmm (No. 123)
Inequivalent atoms, fractional coordinates:
Li: 0.0000 0.0000 0.0000  8 Pd 2.89, 4 Cu 2.92
Cu: 0.5000 0.5000 0.0000  2 B 2.02
B: 0.5000 0.5000 0.5000  2 Cu 2.02, 4 Pd 2.07
Pd: 0.0000 0.5000 0.5000  2 B 2.07

Output
As for the total energy: -4.82 eV per atom. For the density of states at the Fermi level, the calculation gives 2.01 states/eV/cell.

***

8.
# Y2Ho5TmTh

A geometry-optimized Y2Ho5TmTh structure (PBE, Alexandria).

a b c (Å): 5.6708 21.3975 9.6759
angles (deg): 90.00 90.00 90.00
Closest atoms and distances in Å follow each position.
Space group Cmc2_1 (No. 36)
Inequivalent atoms, fractional coordinates:
Y: 0.0000 0.1149 0.0000  9 Ho 3.33-3.68, 1 Tm 3.42, 1 Y 3.73
Y: 0.0000 0.1292 0.3841  1 Tm 3.24, 3 Ho 3.33-3.61, 2 Th 3.58
Ho: 0.0000 0.0151 0.6902  3 Y 3.33-3.68, 2 Th 3.44, 2 Ho 3.59
Ho: 0.0000 0.2709 0.9984  1 Th 3.02, 1 Y 3.34
Ho: 0.0000 0.3042 0.3900  4 Ho 3.42-3.72, 3 Tm 3.44-3.78, 3 Y 3.49-3.75, 1 Th 3.55
Ho: 0.0000 0.3982 0.7137  2 Ho 3.27-3.43, 4 Y 3.33-3.52
Ho: 0.0000 0.4697 0.4155  2 Th 3.22-3.38, 5 Ho 3.27-3.59, 2 Y 3.46
Tm: 0.0000 0.1909 0.6897  2 Y 3.24-3.42, 5 Ho 3.44-3.48, 2 Th 3.61
Th: 0.0000 0.4045 0.0976  3 Ho 3.02-3.38

Output
As for the total energy: -5.14 eV per atom. For the density of states at the Fermi level, the calculation gives 52.65 states/eV/cell.